# ZnWO4

ZnWO4 after structural relaxation (GGA+U, the Alexandria database).

It has space group P2/c (No. 13), with a = 4.7412 Å, b = 5.8058 Å, c = 5.0416 Å, α = 90.00°, β = 91.38° and γ = 90.00°. The distinct sites, in fractional coordinates, are Zn at (0.0000, 0.1716, 0.2500), W at (0.5000, 0.3254, 0.7500), O at (0.2421, 0.1262, 0.5980) and O at (0.2840, 0.3927, 0.0660).

The relative energy among the computed polymorphs is 0 meV per atom. For the final energy, the calculation gives -6.5257 eV/atom.